(1)
NdAs2 | GGA-PBE | optimized geometry

```
NdAs2
1.0
4.608 -1.953 0.000
4.608 1.953 0.000
-2.282 0.000 8.108
As Nd
4 2
Direct
0.144 0.144 0.533 As
0.855 0.855 0.968 As
0.856 0.856 0.467 As
0.145 0.145 0.032 As
0.501 0.501 0.250 Nd
0.499 0.499 0.750 Nd
```

Results
Total energy = -16.47 eV/f.u.
Mass density = 6.69 g/cm³
SG = C2/m


(2)
KTbCdS3 | GGA-PBE | optimized geometry

```
KTbCdS3
1.0
8.255 0.000 0.000
0.000 4.131 0.000
-3.095 0.000 9.731
K S Cd Tb
2 6 2 2
Direct
0.257 0.750 0.746 K
0.743 0.250 0.254 K
0.263 0.250 0.442 S
0.036 0.250 0.858 S
0.585 0.250 0.857 S
0.737 0.750 0.558 S
0.415 0.750 0.143 S
0.964 0.750 0.142 S
0.416 0.750 0.387 Cd
0.584 0.250 0.613 Cd
0.818 0.750 0.870 Tb
0.182 0.250 0.130 Tb
```

Results
Total energy = -27.36 eV/f.u.
Mass density = 4.07 g/cm³
SG = P2_1/m


(3)
GaFe2Ag | GGA-PBE | optimized geometry

```
GaFe2Ag
1.0
0.000 3.036 3.036
3.036 0.000 3.036
3.036 3.036 0.000
Fe Ga Ag
2 1 1
Direct
0.750 0.750 0.750 Fe
0.000 0.000 0.000 Fe
0.500 0.500 0.500 Ga
0.250 0.250 0.250 Ag
```

Results
Total energy = -21.81 eV/f.u.
Mass density = 8.59 g/cm³
SG = F-43m


> What is the mass density in the second record?

4.07 g/cm³